{
  "formula": "Lu2MgTi",
  "functional": "PBE-GGA",
  "state": "optimized geometry",
  "lattice": [[-2.895, -0.454, -1.486], [-0.681, -2.881, -1.426], [-5.307, -4.642, 8.126]],
  "species": ["Mg", "Lu", "Lu", "Ti"],
  "frac_coords": [[0.000, 0.000, 0.000], [0.756, 0.756, 0.732], [0.244, 0.244, 0.268], [0.500, 0.500, 0.500]],
  "formation_enthalpy_0k_ev_per_atom": 0.1214,
  "space_group": "R-3m, No. 166"
}



{
  "formula": "Ce2PrHgO4",
  "functional": "PBE-GGA",
  "state": "optimized geometry",
  "lattice": [[4.055, 0.000, 0.000], [0.000, 4.055, 0.000], [0.000, 0.000, 9.177]],
  "species": ["Ce", "Ce", "Pr", "Hg", "O", "O", "O", "O"],
  "frac_coords": [[0.500, 0.500, 0.271], [0.500, 0.500, 0.729], [0.000, 0.000, 0.000], [0.000, 0.000, 0.500], [0.000, 0.500, 0.161], [0.500, 0.000, 0.839], [0.500, 0.000, 0.161], [0.000, 0.500, 0.839]],
  "space_group": "P4/mmm, No. 123"
}



{
  "formula": "Tb2Pa2S7",
  "functional": "PBE-GGA",
  "state": "optimized geometry",
  "lattice": [[4.605, 0.000, 0.000], [0.000, 4.605, 0.000], [0.000, 0.000, 13.015]],
  "species": ["Tb", "Tb", "Pa", "Pa", "S", "S", "S", "S", "S", "S", "S"],
  "frac_coords": [[0.500, 0.000, 0.862], [0.000, 0.500, 0.138], [0.500, 0.000, 0.375], [0.000, 0.500, 0.625], [0.500, 0.500, 0.000], [0.000, 0.000, 0.239], [0.500, 0.500, 0.258], [0.000, 0.000, 0.500], [0.500, 0.500, 0.500], [0.000, 0.000, 0.761], [0.500, 0.500, 0.742]],
  "space_group": "P-4m2, No. 115"
}



{
  "formula": "BeP2Ru",
  "functional": "PBE-GGA",
  "state": "optimized geometry",
  "lattice": [[-3.869, -0.707, 0.525], [0.547, -0.725, 3.055], [-0.363, 3.733, 2.353]],
  "species": ["Ru", "Be", "P", "P"],
  "frac_coords": [[0.500, 0.250, 0.250], [0.500, 0.750, 0.750], [0.000, 0.400, 0.941], [0.000, 0.100, 0.559]],
  "formation_enthalpy_0k_ev_per_atom": -0.1147,
  "space_group": "P2/m, No. 10"
}



{
  "formula": "LiSm2AgO5",
  "functional": "PBE-GGA",
  "state": "optimized geometry",
  "lattice": [[5.896, 0.000, 0.000], [0.000, 6.681, 0.000], [0.000, 0.000, 6.681]],
  "species": ["Li", "Li", "Sm", "Sm", "Sm", "Sm", "Ag", "Ag", "O", "O", "O", "O", "O", "O", "O", "O", "O", "O"],
  "frac_coords": [[0.000, 0.500, 0.500], [0.000, 0.000, 0.000], [0.500, 0.676, 0.176], [0.500, 0.176, 0.324], [0.500, 0.824, 0.676], [0.500, 0.324, 0.824], [0.000, 0.000, 0.500], [0.000, 0.500, 0.000], [0.500, 0.500, 0.500], [0.500, 0.000, 0.000], [0.255, 0.138, 0.638], [0.255, 0.862, 0.362], [0.255, 0.362, 0.138], [0.255, 0.638, 0.862], [0.745, 0.138, 0.638], [0.745, 0.638, 0.862], [0.745, 0.862, 0.362], [0.745, 0.362, 0.138]],
  "space_group": "P4/mbm, No. 127"
}



{
  "formula": "Pm2Sm2Au3",
  "functional": "PBE-GGA",
  "state": "optimized geometry",
  "lattice": [[-5.187, 4.327, -4.132], [0.446, -7.268, -3.112], [-2.386, -0.496, 7.534]],
  "species": ["Pm", "Pm", "Pm", "Pm", "Sm", "Sm", "Sm", "Sm", "Au", "Au", "Au", "Au", "Au", "Au"],
  "frac_coords": [[0.500, 0.360, 0.500], [0.000, 0.000, 0.360], [0.640, 0.140, 0.140], [0.860, 0.500, 0.000], [0.000, 0.000, 0.861], [0.500, 0.861, 0.500], [0.139, 0.639, 0.639], [0.361, 0.500, 0.000], [0.750, 0.627, 0.377], [0.250, 0.873, 0.123], [0.623, 0.750, 0.873], [0.877, 0.250, 0.627], [0.373, 0.123, 0.750], [0.127, 0.377, 0.250]],
  "formation_enthalpy_0k_ev_per_atom": -0.6200,
  "space_group": "I2_13, No. 199"
}



{
  "formula": "Y6InNi2",
  "functional": "PBE-GGA",
  "state": "optimized geometry",
  "lattice": [[-4.799, -6.029, -3.501], [5.581, 3.263, -5.463], [4.506, -3.306, 6.356]],
  "species": ["Y", "Y", "Y", "Y", "Y", "Y", "Y", "Y", "Y", "Y", "Y", "Y", "In", "In", "Ni", "Ni", "Ni", "Ni"],
  "frac_coords": [[0.527, 0.710, 0.817], [0.473, 0.290, 0.183], [0.107, 0.290, 0.817], [0.893, 0.710, 0.183], [0.796, 0.766, 0.563], [0.204, 0.234, 0.437], [0.204, 0.766, 0.970], [0.796, 0.234, 0.030], [0.693, 0.369, 0.676], [0.307, 0.631, 0.324], [0.307, 0.982, 0.676], [0.693, 0.018, 0.324], [0.000, 0.500, 0.500], [0.000, 0.000, 0.000], [0.500, 0.379, 0.879], [0.500, 0.621, 0.121], [0.646, 0.000, 0.646], [0.354, 0.000, 0.354]],
  "formation_enthalpy_0k_ev_per_atom": -0.3506,
  "space_group": "Immm, No. 71"
}



Calculated E, -18.05 -59.49 -75.97 -24.28 -115.01 -66.22 -112.48 eV for the cell shown (same order as the records).
Calculated volume, 24.8 18.9 25.1 13.3 14.6 27.3 25.9 Å³ per atom (same order as the records).